{
  "formula": "AgBrCl2",
  "functional": "GGA-PBEsol",
  "state": "optimized geometry",
  "lattice_angstrom": [[5.2375, 0.0000, 0.0000], [0.0000, 3.5440, 0.0000], [-0.9734, 0.0000, 5.1664]],
  "species": ["Ag", "Br", "Cl", "Cl"],
  "fractional_positions": [[0.0000, 0.0000, 0.0000], [0.5000, 0.0000, 0.5000], [0.2005, 0.5000, 0.7987], [0.7995, 0.5000, 0.2013]],
  "n_ef_per_ev_fu": 2.0,
  "e_tot_ev_per_atom": -2.393,
  "formation_energy_uncorrected_ev_per_fu": -0.37,
  "magmom_total_mub_per_cell": 0.00
}

---

{
  "formula": "AgBr2Cl",
  "functional": "GGA-PBEsol",
  "state": "optimized geometry",
  "lattice_angstrom": [[7.0412, 0.0000, 0.0000], [0.0000, 7.0412, 0.0000], [0.0000, 0.0000, 7.0412]],
  "species": ["Ag", "Ag", "Ag", "Ag", "Br", "Br", "Br", "Br", "Br", "Br", "Br", "Br", "Cl", "Cl", "Cl", "Cl"],
  "fractional_positions": [[0.0000, 0.0000, 0.0000], [0.0000, 0.5000, 0.5000], [0.5000, 0.0000, 0.5000], [0.5000, 0.5000, 0.0000], [0.0000, 0.0000, 0.5000], [0.0000, 0.5000, 0.0000], [0.2500, 0.2500, 0.2500], [0.2500, 0.7500, 0.7500], [0.5000, 0.0000, 0.0000], [0.5000, 0.5000, 0.5000], [0.7500, 0.2500, 0.7500], [0.7500, 0.7500, 0.2500], [0.2500, 0.2500, 0.7500], [0.2500, 0.7500, 0.2500], [0.7500, 0.2500, 0.2500], [0.7500, 0.7500, 0.7500]],
  "n_ef_per_ev_fu": 6.1,
  "e_tot_ev_per_atom": -1.939,
  "formation_energy_uncorrected_ev_per_fu": 1.30,
  "magmom_total_mub_per_cell": 4.77
}